An optimized crystal structure of NpMnInTc, computed with PBE.

The structure in extended XYZ format:
```
4
Lattice="0.0000 3.2921 3.2921 3.2921 0.0000 3.2921 3.2921 3.2921 0.0000" Properties=species:S:1:pos:R:3 pbc="T T T"
Np 0.0000 0.0000 0.0000
Mn 1.6460 1.6460 1.6460
In 3.2921 3.2921 3.2921
Tc 4.9381 4.9381 4.9381
```

## Properties
Its symmetry is F-43m. Its formation energy is 0.188 eV per atom.